No. 1
! IrPb2F8 (GGA-PBE, relaxed); values from VASP
! * uncorrected energy: -4.825 eV per atom
! * DOS(E_F): 6.6 states/eV/cell
! * raw formation energy: -1984 meV/atom
! * magnetic moment: 0.092 μB per atom
&SYSTEM
  ibrav = 0, nat = 11, ntyp = 3
/
ATOMIC_SPECIES
Ir 192.22 Ir.upf
Pb 207.20 Pb.upf
F 19.00 F.upf
CELL_PARAMETERS angstrom
5.3308 -3.8280 0.0000
5.3308 3.8280 0.0000
-1.0093 0.0000 4.6767
ATOMIC_POSITIONS angstrom
Ir 0.0000 0.0000 0.0000
Pb 3.5603 0.0000 0.8054
Pb 6.0921 0.0000 3.8712
F 3.9784 2.4620 0.5260
F 0.9341 0.0000 1.6966
F 5.6739 2.4620 4.1507
F 3.7800 0.0000 3.3140
F 5.8723 0.0000 1.3627
F 3.9784 -2.4620 0.5260
F 8.7183 0.0000 2.9801
F 5.6739 -2.4620 4.1507

No. 2
! CeMgFeRu (GGA-PBE, relaxed); values from VASP
! * energy of formation: 9 meV/atom
! * uncorrected energy: -6.308 eV per atom
! * DOS(E_F): 22.7 states/eV/cell
! * magnetic moment: 0.277 μB per atom
&SYSTEM
  ibrav = 0, nat = 16, ntyp = 4
/
ATOMIC_SPECIES
Ce 140.12 Ce.upf
Mg 24.30 Mg.upf
Fe 55.84 Fe.upf
Ru 101.07 Ru.upf
CELL_PARAMETERS angstrom
6.5054 0.0000 0.0000
0.0000 6.5054 0.0000
0.0000 0.0000 6.5054
ATOMIC_POSITIONS angstrom
Ce 0.0000 0.0000 0.0000
Ce 0.0000 3.2527 3.2527
Ce 3.2527 0.0000 3.2527
Ce 3.2527 3.2527 0.0000
Mg 0.0000 0.0000 3.2527
Mg 0.0000 3.2527 0.0000
Mg 3.2527 0.0000 0.0000
Mg 3.2527 3.2527 3.2527
Fe 1.6263 1.6263 4.8790
Fe 1.6263 4.8790 1.6263
Fe 4.8790 1.6263 1.6263
Fe 4.8790 4.8790 4.8790
Ru 1.6263 1.6263 1.6263
Ru 1.6263 4.8790 4.8790
Ru 4.8790 1.6263 4.8790
Ru 4.8790 4.8790 1.6263

No. 3
! TbNb2B6 (GGA-PBE, relaxed); values from VASP
! * energy of formation: -681 meV/atom
! * uncorrected energy: -7.885 eV per atom
! * DOS(E_F): 1.7 states/eV/cell
! * energy above the most stable polymorph in this dataset: 0.0 meV per atom
! * magnetic moment: 0.000 μB per atom
&SYSTEM
  ibrav = 0, nat = 9, ntyp = 3
/
ATOMIC_SPECIES
Tb 158.93 Tb.upf
Nb 92.91 Nb.upf
B 10.81 B.upf
CELL_PARAMETERS angstrom
5.4790 0.0000 0.0000
-2.7395 4.7450 0.0000
0.0000 0.0000 3.5150
ATOMIC_POSITIONS angstrom
Tb 0.0000 0.0000 0.0000
Nb 0.0000 3.1633 0.0000
Nb 2.7395 1.5817 0.0000
B -0.9299 1.6107 1.7575
B -1.8096 3.1343 1.7575
B 1.8598 0.0000 1.7575
B 0.9299 1.6107 1.7575
B 3.6192 0.0000 1.7575
B 1.8096 3.1343 1.7575

No. 4
! Nd3SmSn (GGA-PBE, relaxed); values from VASP
! * energy of formation: -51 meV/atom
! * uncorrected energy: -4.656 eV per atom
! * DOS(E_F): 15.6 states/eV/cell
! * magnetic moment: 0.000 μB per atom
&SYSTEM
  ibrav = 0, nat = 10, ntyp = 3
/
ATOMIC_SPECIES
Nd 144.24 Nd.upf
Sm 150.36 Sm.upf
Sn 118.71 Sn.upf
CELL_PARAMETERS angstrom
5.6478 0.0000 0.0000
0.0000 9.6368 0.0000
0.0000 0.0000 6.4737
ATOMIC_POSITIONS angstrom
Nd 0.0000 0.0000 0.0000
Nd 0.0000 4.8184 3.2369
Nd 2.8239 1.7055 4.7585
Nd 2.8239 3.1129 1.5216
Nd 2.8239 6.5239 1.5216
Nd 2.8239 7.9313 4.7585
Sm 0.0000 0.0000 3.0787
Sm 0.0000 4.8184 6.3155
Sn 2.8239 0.0000 1.5610
Sn 2.8239 4.8184 4.7979

No. 5
! K2CoPt (GGA-PBE, relaxed); values from VASP
! * energy of formation: 770 meV/atom
! * uncorrected energy: -3.066 eV per atom
! * DOS(E_F): 9.5 states/eV/cell
! * energy above the most stable polymorph in this dataset: 587.5 meV per atom
! * magnetic moment: 0.401 μB per atom
&SYSTEM
  ibrav = 0, nat = 8, ntyp = 3
/
ATOMIC_SPECIES
K 39.10 K.upf
Co 58.93 Co.upf
Pt 195.08 Pt.upf
CELL_PARAMETERS angstrom
10.9972 0.0000 0.0000
0.0000 2.9683 0.0000
-0.7604 0.0000 5.0996
ATOMIC_POSITIONS angstrom
K 2.5250 0.0000 1.2624
K 2.2132 1.4841 3.8373
K 8.0237 1.4841 1.2624
K 7.7118 0.0000 3.8373
Co -0.3802 0.0000 2.5498
Co 5.1184 1.4841 2.5498
Pt 0.0000 1.4841 0.0000
Pt 5.4986 0.0000 0.0000

No. 6
! As2P (GGA-PBE, relaxed); values from VASP
! * energy of formation: 329 meV/atom
! * uncorrected energy: -4.574 eV per atom
! * DOS(E_F): 1.2 states/eV/cell
! * energy above the most stable polymorph in this dataset: 270.2 meV per atom
! * magnetic moment: 0.000 μB per atom
&SYSTEM
  ibrav = 0, nat = 3, ntyp = 2
/
ATOMIC_SPECIES
As 74.92 As.upf
P 30.97 P.upf
CELL_PARAMETERS angstrom
3.3332 0.0000 0.0000
-1.6666 2.8866 0.0000
0.0000 0.0000 6.2579
ATOMIC_POSITIONS angstrom
As 0.0000 1.9244 1.5160
As 1.6666 0.9622 4.7419
P 0.0000 0.0000 3.1289

No. 7
! BaHgRu2 (GGA-PBE, relaxed); values from VASP
! * energy of formation: 918 meV/atom
! * uncorrected energy: -4.276 eV per atom
! * DOS(E_F): 15.3 states/eV/cell
! * magnetic moment: 0.488 μB per atom
&SYSTEM
  ibrav = 0, nat = 16, ntyp = 3
/
ATOMIC_SPECIES
Ba 137.33 Ba.upf
Hg 200.59 Hg.upf
Ru 101.07 Ru.upf
CELL_PARAMETERS angstrom
7.0673 0.0000 0.0000
0.0000 7.0673 0.0000
0.0000 0.0000 7.0673
ATOMIC_POSITIONS angstrom
Ba 0.0000 0.0000 0.0000
Ba 0.0000 3.5337 3.5337
Ba 3.5337 0.0000 3.5337
Ba 3.5337 3.5337 0.0000
Hg 1.7668 1.7668 1.7668
Hg 1.7668 5.3005 5.3005
Hg 5.3005 1.7668 5.3005
Hg 5.3005 5.3005 1.7668
Ru 0.0000 0.0000 3.5337
Ru 0.0000 3.5337 0.0000
Ru 1.7668 1.7668 5.3005
Ru 1.7668 5.3005 1.7668
Ru 3.5337 0.0000 0.0000
Ru 3.5337 3.5337 3.5337
Ru 5.3005 1.7668 1.7668
Ru 5.3005 5.3005 5.3005

No. 8
! Nb2IrPt (GGA-PBE, relaxed); values from VASP
! * energy of formation: -37 meV/atom
! * uncorrected energy: -8.798 eV per atom
! * DOS(E_F): 11.1 states/eV/cell
! * magnetic moment: 0.000 μB per atom
&SYSTEM
  ibrav = 0, nat = 16, ntyp = 3
/
ATOMIC_SPECIES
Nb 92.91 Nb.upf
Ir 192.22 Ir.upf
Pt 195.08 Pt.upf
CELL_PARAMETERS angstrom
7.2122 0.0000 0.0000
0.0000 7.2122 0.0000
0.0000 0.0000 5.5350
ATOMIC_POSITIONS angstrom
Nb 1.7020 5.4091 0.6919
Nb 1.8030 1.7020 4.8431
Nb 1.8030 1.9041 2.0756
Nb 1.9041 5.4091 3.4594
Nb 5.3081 1.8030 3.4594
Nb 5.4091 5.3081 2.0756
Nb 5.4091 5.5102 4.8431
Nb 5.5102 1.8030 0.6919
Ir 0.0000 0.0000 0.0000
Ir 0.0000 3.6061 1.3837
Ir 3.6061 0.0000 4.1512
Ir 3.6061 3.6061 2.7675
Pt 0.0000 0.0000 2.7675
Pt 0.0000 3.6061 4.1512
Pt 3.6061 0.0000 1.3837
Pt 3.6061 3.6061 0.0000

No. 9
! KRb3Na2Cl6 (GGA-PBE, relaxed); values from VASP
! * uncorrected energy: -3.344 eV per atom
! * DOS(E_F): 0.0 states/eV/cell
! * raw formation energy: -1868 meV/atom
! * magnetic moment: 0.000 μB per atom
&SYSTEM
  ibrav = 0, nat = 12, ntyp = 4
/
ATOMIC_SPECIES
K 39.10 K.upf
Rb 85.47 Rb.upf
Na 22.99 Na.upf
Cl 35.45 Cl.upf
CELL_PARAMETERS angstrom
3.8543 -6.6740 0.0000
3.8543 6.6740 0.0000
-2.5810 0.0000 7.3355
ATOMIC_POSITIONS angstrom
K 0.0000 0.0000 0.0000
Rb 2.5638 4.4913 3.6678
Rb 2.5638 0.0000 3.6678
Rb 2.5638 -4.4913 3.6678
Na 3.8543 2.2342 0.0000
Na 3.8543 -2.2342 0.0000
Cl 1.3438 2.3316 1.6180
Cl 0.1113 0.0000 5.7290
Cl 1.3438 -2.3316 1.6180
Cl 3.7839 2.3316 5.7176
Cl 5.0163 0.0000 1.6066
Cl 3.7839 -2.3316 5.7176

No. 10
! I2O3F3 (GGA-PBE, relaxed); values from VASP
! * uncorrected energy: -3.667 eV per atom
! * DOS(E_F): 5.6 states/eV/cell
! * raw formation energy: -718 meV/atom
! * magnetic moment: 0.000 μB per atom
&SYSTEM
  ibrav = 0, nat = 32, ntyp = 3
/
ATOMIC_SPECIES
I 126.90 I.upf
O 16.00 O.upf
F 19.00 F.upf
CELL_PARAMETERS angstrom
6.2040 3.5819 4.6510
-6.2040 3.5819 4.6510
0.0000 -7.1637 4.6510
ATOMIC_POSITIONS angstrom
I -3.2743 -1.7002 7.8498
I 0.0000 0.0000 3.2724
I -0.1647 -3.6857 6.1032
I -3.1096 1.9855 6.1032
I 3.1096 -1.9855 7.8499
I 0.1647 3.6857 7.8499
I 0.0000 0.0000 10.6806
I 3.2743 1.7002 6.1032
O -1.0342 -1.2510 2.3964
O -2.2188 -2.2462 6.4814
O -0.5663 1.5211 2.3964
O 1.6004 -0.2701 2.3964
O -3.0547 0.7985 7.4716
O 0.8358 -3.0447 7.4716
O -0.8358 3.0447 6.4814
O 3.0547 -0.7985 6.4814
O -1.6004 0.2701 11.5566
O 0.5663 -1.5211 11.5566
O 2.2188 2.2462 7.4716
O 1.0341 1.2510 11.5566
F -4.7673 0.8793 5.1174
F -3.1452 -3.6890 8.8357
F -1.8560 0.8694 5.0280
F 0.1751 -2.0421 5.0280
F 1.6221 -4.5683 5.1174
F -1.6809 -1.1727 8.9250
F 1.6809 1.1727 5.0280
F -1.6221 4.5683 8.8357
F -0.1751 2.0421 8.9250
F 1.8560 -0.8694 8.9250
F 3.1452 3.6890 5.1174
F 4.7673 -0.8794 8.8357

No. 11
! CaDy2In4 (GGA-PBE, relaxed); values from VASP
! * energy of formation: -323 meV/atom
! * uncorrected energy: -3.489 eV per atom
! * DOS(E_F): 10.7 states/eV/cell
! * magnetic moment: 0.000 μB per atom
&SYSTEM
  ibrav = 0, nat = 14, ntyp = 3
/
ATOMIC_SPECIES
Ca 40.08 Ca.upf
Dy 162.50 Dy.upf
In 114.82 In.upf
CELL_PARAMETERS angstrom
7.5376 0.0000 0.0000
0.0000 7.5376 0.0000
0.0000 0.0000 7.2903
ATOMIC_POSITIONS angstrom
Ca 0.0000 0.0000 0.0000
Ca 3.7688 3.7688 3.6451
Dy 0.0000 3.7688 0.0000
Dy 0.0000 3.7688 3.6451
Dy 3.7688 0.0000 0.0000
Dy 3.7688 0.0000 3.6451
In 1.8844 1.8844 1.8226
In 1.8844 1.8844 5.4677
In 1.8844 5.6532 1.8226
In 1.8844 5.6532 5.4677
In 5.6532 1.8844 1.8226
In 5.6532 1.8844 5.4677
In 5.6532 5.6532 1.8226
In 5.6532 5.6532 5.4677

No. 12
! CePm6Sn3 (GGA-PBE, relaxed); values from VASP
! * energy of formation: -353 meV/atom
! * uncorrected energy: -4.997 eV per atom
! * DOS(E_F): 30.4 states/eV/cell
! * magnetic moment: 0.101 μB per atom
&SYSTEM
  ibrav = 0, nat = 20, ntyp = 3
/
ATOMIC_SPECIES
Ce 140.12 Ce.upf
Pm 145.00 Pm.upf
Sn 118.71 Sn.upf
CELL_PARAMETERS angstrom
5.4709 -7.6787 0.0000
5.4709 7.6787 0.0000
0.0000 0.0000 7.7865
ATOMIC_POSITIONS angstrom
Ce 5.4709 4.3874 3.8933
Ce 5.4709 -4.3874 0.0000
Pm 5.4709 6.8834 6.3525
Pm 2.8921 3.0454 2.4664
Pm 3.1659 0.5597 7.7514
Pm 5.4709 3.2913 7.5941
Pm 3.1659 -0.5597 3.8581
Pm 2.8921 -3.0454 6.3597
Pm 8.0496 3.0454 2.4664
Pm 7.7759 0.5597 7.7514
Pm 5.4709 -3.2913 3.7008
Pm 7.7759 -0.5597 3.8581
Pm 8.0496 -3.0454 6.3597
Pm 5.4709 -6.8834 2.4592
Sn 1.5586 1.8590 5.2132
Sn 1.5586 -1.8590 1.3199
Sn 5.4709 1.1475 2.2563
Sn 5.4709 -1.1475 6.1496
Sn 9.3831 1.8590 5.2132
Sn 9.3831 -1.8590 1.3199